# 1
VASP calculation (GGA-PBEsol) on a relaxed structure of LiScTl2.

```
4
Lattice="-1.857 1.072 -2.462 -4.110 -2.331 2.085 1.242 4.702 3.275" Properties=species:S:1:pos:R:3 pbc="T T T"
Sc -1.425 2.711 0.091
Li -3.334 -0.777 0.012
Tl -1.012 5.535 1.009
Tl -2.553 1.118 2.412
```

Output
- Space-group type: Cm
- Distance to the lowest polymorph of the same formula: 135 meV/atom
- Formation energy: -0.2142 eV per atom

# 2
VASP calculation (GGA-PBEsol) on a relaxed structure of LiScTl2.

```
4
Lattice="-1.636 -1.836 -2.562 3.877 -2.991 -0.333 -1.986 -2.951 3.382" Properties=species:S:1:pos:R:3 pbc="T T T"
Tl -0.993 -1.475 1.691
Sc -0.818 -0.918 -1.281
Tl 1.938 -1.496 -0.167
Li 0.127 -3.889 0.243
```

Output
- Space-group type: P4/mmm
- Distance to the lowest polymorph of the same formula: 0 meV/atom
- Formation energy: -0.3492 eV per atom

# 3
VASP calculation (GGA-PBEsol) on a relaxed structure of LiScTl2.

```
4
Lattice="5.022 0.000 0.000 2.511 4.350 0.000 2.511 1.450 4.101" Properties=species:S:1:pos:R:3 pbc="T T T"
Tl 0.000 0.000 0.000
Li 5.022 2.900 2.050
Sc 2.511 1.450 1.025
Tl 7.534 4.350 3.076
```

Output
- Space-group type: F-43m
- Distance to the lowest polymorph of the same formula: 305 meV/atom
- Formation energy: -0.0439 eV per atom

# 4
VASP calculation (GGA-PBEsol) on a relaxed structure of Li4ScTl.

```
6
Lattice="-1.377 -4.994 -1.109 3.738 -3.699 -0.638 0.624 -3.792 3.647" Properties=species:S:1:pos:R:3 pbc="T T T"
Tl 0.000 0.000 0.000
Li 2.992 -6.532 0.392
Li 0.429 -7.181 0.156
Sc 2.239 -9.364 1.424
Li 1.119 -4.678 0.712
Li 1.432 -6.579 2.539
```

Output
- Space-group type: F-43m
- Formation energy: -0.0766 eV per atom

# 5
VASP calculation (GGA-PBEsol) on a relaxed structure of Li2ScTl2.

```
10
Lattice="-0.239 1.971 -2.454 -7.461 -2.212 -1.052 -2.376 5.720 4.827" Properties=species:S:1:pos:R:3 pbc="T T T"
Tl -3.095 4.483 1.873
Tl -7.150 4.158 2.006
Tl -2.926 1.321 -0.684
Sc 0.000 0.000 0.000
Li -8.058 1.569 2.045
Li -1.779 1.939 1.731
Sc -4.918 1.754 1.888
Li -4.964 4.206 3.863
Tl -6.981 0.996 -0.551
Li -4.873 -0.699 -0.087
```

Output
- Space-group type: P4/mbm
- Formation energy: -0.2333 eV per atom

# 6
VASP calculation (GGA-PBEsol) on a relaxed structure of LiScTl2.

```
4
Lattice="4.935 0.000 0.000 2.467 4.274 0.000 2.467 1.425 4.029" Properties=species:S:1:pos:R:3 pbc="T T T"
Tl 2.467 1.425 1.007
Tl 7.402 4.274 3.022
Sc 4.935 2.849 2.015
Li 0.000 0.000 0.000
```

Output
- Space-group type: Fm-3m
- Distance to the lowest polymorph of the same formula: 22 meV/atom
- Formation energy: -0.3270 eV per atom

Number 1: E_tot -14.7 eV for the cell shown. Number 2: E_tot -15.2 eV for the cell shown. Number 3: E_tot -14.0 eV for the cell shown. Number 4: E_tot -17.6 eV for the cell shown. Number 5: E_tot -33.9 eV for the cell shown. Number 6: E_tot -15.1 eV for the cell shown.